1.
Material: Th2AgPt
Method: DFT, PBE
State: optimized geometry

```
Th2AgPt
1.0
-2.828 2.606 -1.500
-0.992 -0.113 -4.006
-6.779 -4.275 -0.328
Th Pt Ag
2 1 1
direct
0.260 0.260 0.221 Th
0.074 0.074 0.778 Th
0.667 0.667 0.999 Pt
0.499 0.499 0.502 Ag
```

## Properties
As for the crystal system: trigonal. For the formation energy from the elements, the calculation gives -0.51 eV per atom. Its total magnetization is 0.00 μB per formula unit.

2.
Material: Th2AgPt
Method: DFT, PBE
State: optimized geometry

```
Th2AgPt
1.0
3.856 0.000 0.000
1.928 3.340 0.000
1.928 1.113 9.823
Ag Th Pt
1 2 1
direct
0.000 0.000 0.000 Ag
0.896 0.896 0.313 Th
0.104 0.104 0.687 Th
0.500 0.500 0.500 Pt
```

## Properties
As for the crystal system: trigonal. For the formation energy from the elements, the calculation gives -0.05 eV per atom. Its total magnetization is 0.00 μB per formula unit.

3.
Material: Th2AgPt2
Method: DFT, PBE
State: optimized geometry

```
Th2AgPt2
1.0
3.797 0.000 0.000
0.000 7.907 0.000
0.000 0.000 7.907
Pt Ag Th
4 2 4
direct
0.000 0.130 0.370 Pt
0.000 0.370 0.870 Pt
0.000 0.630 0.130 Pt
0.000 0.870 0.630 Pt
0.000 0.000 0.000 Ag
0.000 0.500 0.500 Ag
0.500 0.328 0.172 Th
0.500 0.672 0.828 Th
0.500 0.828 0.328 Th
0.500 0.172 0.672 Th
```

## Properties
As for the crystal system: tetragonal. For the formation energy from the elements, the calculation gives -0.97 eV per atom. Its total magnetization is 0.00 μB per formula unit.